DFT (PBE) results for an optimized crystal structure of PrGa2Hg.

Geometry as POSCAR:
```
PrGa2Hg
1.0
5.2353 0.0000 0.0000
2.6176 4.5339 0.0000
2.6176 1.5113 3.9163
Pr Ga Hg
1 2 1
direct
0.5000 0.5000 0.5000
0.2407 0.2407 0.2778
0.7593 0.7593 0.7222
0.0000 0.0000 0.0000
```

## Properties
SG: R-3m (166)
formation energy from the elements: -0.28 eV per atom
distance to the lowest polymorph of the same formula: 141.0 meV/atom
DOS(E_F): 0.58 states/eV/atom


DFT (PBE) results for an optimized crystal structure of CaNdNi.

Geometry as POSCAR:
```
CaNdNi
1.0
3.5200 0.0000 0.0000
0.0000 3.5200 0.0000
-1.7600 -1.7600 6.5518
Ca Ni Nd
1 1 1
direct
0.0350 0.0350 0.0699
0.6757 0.6757 0.3514
0.2893 0.2893 0.5786
```

## Properties
SG: I4mm (107)
formation energy from the elements: -0.11 eV per atom
distance to the lowest polymorph of the same formula: 102.4 meV/atom
DOS(E_F): 0.78 states/eV/atom